Model a:
# BaYAs2 | Alexandria via LeMat-Bulk | SCAN | PBEsol geometry
data_BaYAs2
_symmetry_space_group_name_H-M 'P 1'
_symmetry_Int_Tables_number 1
_symmetry_space_group_name_Hall 'P 1'
_cell_length_a 3.349
_cell_length_b 3.826
_cell_length_c 7.928
_cell_angle_alpha 90.00
_cell_angle_beta 90.00
_cell_angle_gamma 90.00
loop_
_atom_site_label
_atom_site_fract_x
_atom_site_fract_y
_atom_site_fract_z
Y1 0.500 0.500 0.000
As1 0.000 0.000 0.217
As2 0.000 0.000 0.783
Ba1 0.500 0.500 0.500
# spin magnetization	0.00	μB per formula unit

---

Model b:
# BaYAs2 | Alexandria via LeMat-Bulk | SCAN | PBEsol geometry
data_BaYAs2
_symmetry_space_group_name_H-M 'P 1'
_symmetry_Int_Tables_number 1
_symmetry_space_group_name_Hall 'P 1'
_cell_length_a 4.297
_cell_length_b 4.297
_cell_length_c 7.713
_cell_angle_alpha 73.83
_cell_angle_beta 73.83
_cell_angle_gamma 60.00
loop_
_atom_site_label
_atom_site_fract_x
_atom_site_fract_y
_atom_site_fract_z
Y1 0.500 0.500 0.500
As1 0.764 0.764 0.707
As2 0.236 0.236 0.293
Ba1 0.000 0.000 0.000
# spin magnetization	0.00	μB per formula unit

---

Verdict on stability: model a comes out at the bottom.

---

Model a:
# BeAs | Alexandria via LeMat-Bulk | SCAN | PBEsol geometry
data_BeAs
_symmetry_space_group_name_H-M 'P 1'
_symmetry_Int_Tables_number 1
_symmetry_space_group_name_Hall 'P 1'
_cell_length_a 3.880
_cell_length_b 3.867
_cell_length_c 4.760
_cell_angle_alpha 90.00
_cell_angle_beta 90.00
_cell_angle_gamma 120.12
loop_
_atom_site_label
_atom_site_fract_x
_atom_site_fract_y
_atom_site_fract_z
Be1 0.907 0.313 0.250
Be2 0.093 0.687 0.750
As1 0.239 0.976 0.250
As2 0.761 0.024 0.750
# spin magnetization	0.00	μB per formula unit

---

Model b:
# BeAs | Alexandria via LeMat-Bulk | SCAN | PBEsol geometry
data_BeAs
_symmetry_space_group_name_H-M 'P 1'
_symmetry_Int_Tables_number 1
_symmetry_space_group_name_Hall 'P 1'
_cell_length_a 3.807
_cell_length_b 3.807
_cell_length_c 5.928
_cell_angle_alpha 71.27
_cell_angle_beta 71.27
_cell_angle_gamma 60.00
loop_
_atom_site_label
_atom_site_fract_x
_atom_site_fract_y
_atom_site_fract_z
Be1 0.417 0.417 0.749
Be2 0.583 0.583 0.251
As1 0.077 0.077 0.769
As2 0.923 0.923 0.231
# spin magnetization	0.00	μB per formula unit

---

Model c:
# BeAs | Alexandria via LeMat-Bulk | SCAN | PBEsol geometry
data_BeAs
_symmetry_space_group_name_H-M 'P 1'
_symmetry_Int_Tables_number 1
_symmetry_space_group_name_Hall 'P 1'
_cell_length_a 3.236
_cell_length_b 3.546
_cell_length_c 4.756
_cell_angle_alpha 90.00
_cell_angle_beta 90.00
_cell_angle_gamma 90.00
loop_
_atom_site_label
_atom_site_fract_x
_atom_site_fract_y
_atom_site_fract_z
Be1 0.500 0.815 0.000
Be2 0.000 0.185 0.500
As1 0.000 0.313 0.000
As2 0.500 0.687 0.500
# spin magnetization	0.00	μB per formula unit

---

Model d:
# BeAs | Alexandria via LeMat-Bulk | SCAN | PBEsol geometry
data_BeAs
_symmetry_space_group_name_H-M 'P 1'
_symmetry_Int_Tables_number 1
_symmetry_space_group_name_Hall 'P 1'
_cell_length_a 3.013
_cell_length_b 3.013
_cell_length_c 3.013
_cell_angle_alpha 90.00
_cell_angle_beta 90.00
_cell_angle_gamma 90.00
loop_
_atom_site_label
_atom_site_fract_x
_atom_site_fract_y
_atom_site_fract_z
Be1 0.500 0.500 0.500
As1 0.000 0.000 0.000
# spin magnetization	0.00	μB per formula unit

---

Verdict on stability: model d comes out at the bottom.